(1)
DFT (PBE-GGA) results for a relaxed structure of Cu6Pd5Au.

Results
DFT formation energy, eV/atom: -0.137

Cell: 4.2731 6.0515 6.7531 Å, 90.01 108.24 90.07°
Space group P-1 (No. 2)
Symmetry-distinct sites (fractional):
Cu1 0.0000 0.2447 0.0000 (multiplicity 2)
Cu2 0.3317 0.2475 0.6635 (multiplicity 2)
Cu3 0.3318 0.7524 0.6636 (multiplicity 2)
Pd1 0.1668 0.9999 0.3334 (multiplicity 2)
Pd2 0.1666 0.5000 0.3331 (multiplicity 2)
Pd3 0.5000 0.0000 0.0000 (multiplicity 1)
Au1 0.5000 0.5000 0.0000 (multiplicity 1)

(2)
DFT (PBE-GGA) results for a relaxed structure of BaDyFe.

Cell: 7.1761 7.1761 7.1761 Å, 90.00 90.00 90.00°
Space group F-43m (No. 216)
Symmetry-distinct sites (fractional):
Ba1 0.0000 0.0000 0.0000 (multiplicity 4)
Dy1 0.2500 0.2500 0.7500 (multiplicity 4)
Fe1 0.2500 0.2500 0.2500 (multiplicity 4)

(3)
DFT (PBE-GGA) results for a relaxed structure of Nb3I8.

Cell: 7.6866 7.6866 43.7323 Å, 90.00 90.00 120.00°
Space group R-3m (No. 166, hexagonal axes)
Symmetry-distinct sites (fractional):
Nb1 0.0720 0.5360 0.0827 (multiplicity 18)
I1 0.0000 0.0000 0.2174 (multiplicity 6)
I2 0.0000 0.0000 0.3670 (multiplicity 6)
I3 0.0022 0.5011 0.2072 (multiplicity 18)
I4 0.0051 0.5026 0.6192 (multiplicity 18)

(4)
DFT (PBE-GGA) results for a relaxed structure of Sc2TcSn2.

Results
Energy relative to the lowest polymorph listed for this composition, eV/atom: 0.000

Cell: 3.8664 3.8664 15.1247 Å, 90.00 90.00 90.00°
Space group I4/mmm (No. 139)
Symmetry-distinct sites (fractional):
Sc1 0.0000 0.0000 0.0908 (multiplicity 4)
Tc1 0.0000 0.0000 0.5000 (multiplicity 2)
Sn1 0.0000 0.5000 0.2500 (multiplicity 4)

(5)
DFT (PBE-GGA) results for a relaxed structure of NaYAsIr.

Results
Energy relative to the lowest polymorph listed for this composition, eV/atom: 0.122

Cell: 6.8311 6.8311 6.8311 Å, 90.00 90.00 90.00°
Space group F-43m (No. 216)
Symmetry-distinct sites (fractional):
Na1 0.0000 0.0000 0.0000 (multiplicity 4)
Y1 0.0000 0.0000 0.5000 (multiplicity 4)
As1 0.2500 0.2500 0.2500 (multiplicity 4)
Ir1 0.2500 0.2500 0.7500 (multiplicity 4)

(6)
DFT (PBE-GGA) results for a relaxed structure of ThRe2.

Results
DFT formation energy, eV/atom: 3.983

Cell: 12.6254 12.6254 12.6254 Å, 90.00 90.00 90.00°
Space group Fd-3m (No. 227, origin choice 2)
Symmetry-distinct sites (fractional):
Th1 0.1250 0.1250 0.1250 (multiplicity 8)
Re1 0.0000 0.0000 0.0000 (multiplicity 16)

(7)
DFT (PBE-GGA) results for a relaxed structure of Ta2Ni.

Results
DFT formation energy, eV/atom: 0.640

Cell: 7.4805 7.4805 7.4805 Å, 90.00 90.00 90.00°
Space group Fd-3m (No. 227, origin choice 2)
Symmetry-distinct sites (fractional):
Ta1 0.0000 0.0000 0.0000 (multiplicity 16)
Ni1 0.1250 0.1250 0.6250 (multiplicity 8)

(8)
DFT (PBE-GGA) results for a relaxed structure of LiScMoOs.

Results
Energy relative to the lowest polymorph listed for this composition, eV/atom: 0.000

Cell: 6.2917 6.2917 6.2917 Å, 90.00 90.00 90.00°
Space group F-43m (No. 216)
Symmetry-distinct sites (fractional):
Li1 0.0000 0.0000 0.0000 (multiplicity 4)
Sc1 0.2500 0.2500 0.7500 (multiplicity 4)
Mo1 0.2500 0.2500 0.2500 (multiplicity 4)
Os1 0.0000 0.0000 0.5000 (multiplicity 4)

(9)
DFT (PBE-GGA) results for a relaxed structure of LiSbTeW.

Results
Energy relative to the lowest polymorph listed for this composition, eV/atom: 0.587

Cell: 6.8829 6.8829 6.8829 Å, 90.00 90.00 90.00°
Space group F-43m (No. 216)
Symmetry-distinct sites (fractional):
Li1 0.0000 0.0000 0.0000 (multiplicity 4)
Sb1 0.2500 0.2500 0.2500 (multiplicity 4)
Te1 0.0000 0.0000 0.5000 (multiplicity 4)
W1 0.2500 0.2500 0.7500 (multiplicity 4)

(10)
DFT (PBE-GGA) results for a relaxed structure of Ho4IBr4N.

Cell: 17.4933 3.7695 8.3717 Å, 90.00 103.72 90.00°
Space group C2/m (No. 12)
Symmetry-distinct sites (fractional):
Ho1 0.9996 0.0000 0.1892 (multiplicity 4)
Ho2 0.1362 0.5000 0.0687 (multiplicity 4)
I1 0.0000 0.5000 0.5000 (multiplicity 2)
Br1 0.1658 0.0000 0.3297 (multiplicity 4)
Br2 0.1698 0.0000 0.8349 (multiplicity 4)
N1 0.0000 0.5000 0.0000 (multiplicity 2)

(11)
DFT (PBE-GGA) results for a relaxed structure of SmDy2ScIn2.

Cell: 5.3061 5.3061 6.7013 Å, 90.00 90.00 120.00°
Space group P-6m2 (No. 187)
Symmetry-distinct sites (fractional):
Sm1 0.0000 0.0000 0.0000 (multiplicity 1)
Dy1 0.6667 0.3333 0.2618 (multiplicity 2)
Sc1 0.3333 0.6667 0.5000 (multiplicity 1)
In1 0.0000 0.0000 0.5000 (multiplicity 1)
In2 0.3333 0.6667 0.0000 (multiplicity 1)

(12)
DFT (PBE-GGA) results for a relaxed structure of RbTaCo.

Results
Energy relative to the lowest polymorph listed for this composition, eV/atom: 1.061

Cell: 6.3854 6.3854 6.3854 Å, 90.00 90.00 90.00°
Space group F-43m (No. 216)
Symmetry-distinct sites (fractional):
Rb1 0.0000 0.0000 0.0000 (multiplicity 4)
Ta1 0.2500 0.2500 0.2500 (multiplicity 4)
Co1 0.2500 0.2500 0.7500 (multiplicity 4)

(13)
DFT (PBE-GGA) results for a relaxed structure of BaCu2SiSeS3.

Cell: 6.2395 6.2443 6.2950 Å, 61.19 81.41 60.94°
Space group P1 (No. 1)
Symmetry-distinct sites (fractional):
Ba1 0.0000 0.0000 0.0000 (multiplicity 1)
Cu1 0.3306 0.5039 0.6513 (multiplicity 1)
Cu2 0.6713 0.5150 0.3386 (multiplicity 1)
Si1 0.4941 0.0253 0.4830 (multiplicity 1)
Se1 0.5184 0.6324 0.8267 (multiplicity 1)
S1 0.1644 0.3791 0.4780 (multiplicity 1)
S2 0.4860 0.9753 0.1696 (multiplicity 1)
S3 0.8164 0.0609 0.4982 (multiplicity 1)

It is found that the ρ values, taken in the order of the records, are 11.1; 6.4; 5.8; 6.2; 7.9; 4.0; 13.3; 9.0; 9.0; 6.9; 7.6; 8.3; 4.2 g/cm3.
It is found that the E_tot values, taken in the order of the records, are -4.4243; -3.5851; -4.3837; -5.8770; -5.6171; -6.7698; -9.1177; -7.6487; -4.6929; -4.9917; -4.6330; -3.6214; -4.6935 eV per atom.